# Li2AcTbIn4 PBE optimized geometry
data_Li2AcTbIn4
_chemical_formula_sum 'Li6 Ac3 Tb3 In12'
_symmetry_space_group_name_H-M 'R -3 m'
_symmetry_Int_Tables_number 166
_symmetry_space_group_name_Hall '-R 3 2"'
_cell_length_a 4.8141
_cell_length_b 4.8141
_cell_length_c 31.7917
_cell_angle_alpha 90.00
_cell_angle_beta 90.00
_cell_angle_gamma 120.00
loop_
_atom_site_label
_atom_site_type_symbol
_atom_site_fract_x
_atom_site_fract_y
_atom_site_fract_z
Li1 Li 0.0000 0.0000 0.2368
Ac1 Ac 0.0000 0.0000 0.0000
Tb1 Tb 0.0000 0.0000 0.5000
In1 In 0.0000 0.0000 0.1161
In2 In 0.0000 0.0000 0.3991
# Volume: 638.1 Å³/cell
# DOS at the Fermi energy: 0.395 states/eV per atom
# Calculated density: 6.71 g/cm3
# Size of the total moment: 0.00 μB per formula unit
# Calculated formation energy: -0.387 eV per atom